Density functional theory data (GGA-PBE) for a relaxed La2Ti4Nb crystal.

The structure in POSCAR format:
```
La2Ti4Nb
1.0
-2.4365 2.4365 7.8673
2.4365 -2.4365 7.8673
2.4365 2.4365 -7.8673
La Ti Nb
2 4 1
Direct
0.1384 0.1384 0.0000
0.8616 0.8616 0.0000
0.0000 0.5000 0.5000
0.3443 0.3443 0.0000
0.5000 0.0000 0.5000
0.6557 0.6557 0.0000
0.5000 0.5000 0.0000
```

- Symmetry: I4/mmm (139)

***

Density functional theory data (GGA-PBE) for a relaxed BaP3Se crystal.

The structure in POSCAR format:
```
BaP3Se
1.0
4.9749 0.0000 0.0000
0.0000 4.9749 0.0000
0.0000 0.0000 4.9749
Ba P Se
1 3 1
Direct
0.0000 0.0000 0.0000
0.0000 0.5000 0.5000
0.5000 0.0000 0.5000
0.5000 0.5000 0.0000
0.5000 0.5000 0.5000
```

- Symmetry: Pm-3m (221)
- Energy relative to the elements, uncorrected: 213 meV per atom

***

Density functional theory data (GGA-PBE) for a relaxed Y4Re3 crystal.

The structure in POSCAR format:
```
Y4Re3
1.0
-1.6257 1.6257 15.7791
1.6257 -1.6257 15.7791
1.6257 1.6257 -15.7791
Y Re
4 3
Direct
0.0566 0.0566 0.0000
0.3367 0.3367 0.0000
0.6633 0.6633 0.0000
0.9434 0.9434 0.0000
0.2288 0.2288 0.0000
0.5000 0.5000 0.0000
0.7712 0.7712 0.0000
```

- Symmetry: I4/mmm (139)

***

Density functional theory data (GGA-PBE) for a relaxed SmBe4Pt4 crystal.

The structure in POSCAR format:
```
SmBe4Pt4
1.0
7.7177 0.0000 0.0000
0.0000 7.7177 0.0000
0.0000 0.0000 4.4630
Sm Be Pt
2 8 8
Direct
0.2500 0.2500 0.2500
0.7500 0.7500 0.7500
0.0575 0.9081 0.1526
0.0919 0.5575 0.6526
0.4081 0.9425 0.6526
0.4425 0.5919 0.1526
0.5575 0.4081 0.8474
0.5919 0.0575 0.3474
0.9081 0.4425 0.3474
0.9425 0.0919 0.8474
0.1145 0.6186 0.1482
0.1186 0.8855 0.6482
0.3814 0.6145 0.6482
0.3855 0.8814 0.1482
0.6145 0.1186 0.8518
0.6186 0.3855 0.3518
0.8814 0.1145 0.3518
0.8855 0.3814 0.8518
```

- Symmetry: P4_2/n (86)

***

Going through the records in order, we get raw total energy values of -6.6753 -4.1140 -8.9043 -5.6011 eV/atom.